Material: Rb3ScAs2O8
Method: DFT, PBE
State: relaxed

Summary:
Space-group type ... P-3m1, No. 164
E_form (uncorrected) ... -1.954 eV/atom
Energy ... -6.111 eV per atom

Cell: 5.829 5.829 8.163 Å, 90.00 90.00 120.00°
Positions (direct):
Rb1 0.667 0.333 0.265
O1 0.333 0.667 0.071
O2 0.171 0.829 0.349
Rb2 0.000 0.000 0.000
O3 0.829 0.171 0.651
O4 0.171 0.343 0.349
O5 0.657 0.829 0.349
As1 0.333 0.667 0.278
O6 0.343 0.171 0.651
Sc1 0.000 0.000 0.500
O7 0.667 0.333 0.929
As2 0.667 0.333 0.722
O8 0.829 0.657 0.651
Rb3 0.333 0.667 0.735

***

Material: Zr12Ga6Sb
Method: DFT, PBE
State: relaxed

Summary:
Space-group type ... Im-3, No. 204
E_form (uncorrected) ... -0.356 eV/atom
Energy ... -6.928 eV per atom

Cell: 8.037 8.037 8.037 Å, 109.47 109.47 109.47°
Positions (direct):
Ga1 0.500 0.870 0.370
Zr1 0.460 0.182 0.278
Zr2 0.182 0.278 0.460
Zr3 0.278 0.095 0.818
Zr4 0.818 0.722 0.540
Ga2 0.870 0.370 0.500
Zr5 0.540 0.818 0.722
Zr6 0.095 0.818 0.278
Zr7 0.818 0.278 0.095
Zr8 0.722 0.540 0.818
Zr9 0.278 0.460 0.182
Zr10 0.722 0.905 0.182
Ga3 0.500 0.130 0.630
Zr11 0.182 0.722 0.905
Sb1 0.000 0.000 0.000
Zr12 0.905 0.182 0.722
Ga4 0.130 0.630 0.500
Ga5 0.630 0.500 0.130
Ga6 0.370 0.500 0.870

***

Material: RbZnPb2
Method: DFT, PBE
State: relaxed

Summary:
Space-group type ... P4/mmm, No. 123
Energy ... -2.412 eV per atom
DFT formation energy ... 0.0 eV per formula unit

Cell: 3.819 3.819 8.618 Å, 90.00 90.00 90.00°
Positions (direct):
Zn1 0.500 0.500 0.000
Pb1 0.000 0.000 0.816
Rb1 0.500 0.500 0.500
Pb2 0.000 0.000 0.184

***

Material: Al2AgGe
Method: DFT, PBE
State: relaxed

Summary:
Space-group type ... R3m, No. 160
Energy ... -3.603 eV per atom
DFT formation energy ... 0.5 eV per formula unit

Cell: 3.996 3.996 6.086 Å, 70.83 70.83 60.00°
Positions (direct):
Ge1 0.667 0.667 0.000
Ag1 0.501 0.501 0.498
Al1 0.077 0.077 0.768
Al2 0.255 0.255 0.234

***

Material: La2AsO
Method: DFT, PBE
State: relaxed

Summary:
Space-group type ... C2/c, No. 15
E_form (uncorrected) ... -2.099 eV/atom
Energy ... -6.964 eV per atom
ΔE to the lowest computed polymorph ... 0.000 eV per atom

Cell: 5.472 5.702 6.952 Å, 90.50 113.17 90.00°
Last column: magnetic moment on the atom in μB.
Positions (direct):
O1 0.363 0.871 0.454  0.00
As1 0.363 0.621 0.954  0.01
La1 0.026 0.618 0.230  0.16
La2 0.700 0.624 0.677  0.16
As2 0.863 0.121 0.954  0.01
La3 0.250 0.124 0.677  0.16
O2 0.363 0.371 0.454  0.00
La4 0.476 0.118 0.230  0.16

***

Material: SrLiMgAu
Method: DFT, PBE
State: relaxed

Summary:
Space-group type ... Cm, No. 8
Energy ... -2.554 eV per atom
ΔE to the lowest computed polymorph ... 0.000 eV per atom
DFT formation energy ... -1.7 eV per formula unit

Cell: 4.772 4.761 6.041 Å, 113.39 90.00 120.08°
Positions (direct):
Sr1 0.621 0.241 0.505
Li1 0.818 0.636 0.097
Au1 0.423 0.846 0.909
Mg1 0.105 0.210 0.956

***

Material: K2NaAl3F12
Method: DFT, PBE
State: relaxed

Summary:
Space-group type ... Pnma, No. 62
E_form (uncorrected) ... -3.365 eV/atom
Energy ... -5.432 eV per atom
ΔE to the lowest computed polymorph ... 0.000 eV per atom

Cell: 7.080 11.443 12.063 Å, 90.00 90.00 90.00°
Positions (direct):
Na1 0.750 0.514 0.771
F1 0.560 0.296 0.687
F2 0.250 0.552 0.415
Al1 0.000 0.252 0.331
Al2 0.500 0.752 0.169
F3 0.041 0.104 0.779
F4 0.750 0.948 0.915
F5 0.562 0.300 0.473
Al3 0.250 0.208 0.080
F6 0.958 0.892 0.622
K1 0.250 0.042 0.574
F7 0.250 0.290 0.801
F8 0.940 0.796 0.813
F9 0.542 0.892 0.622
F10 0.440 0.704 0.313
F11 0.062 0.200 0.973
Al4 0.500 0.248 0.831
F12 0.060 0.204 0.187
Al5 0.000 0.248 0.831
F13 0.458 0.108 0.378
F14 0.250 0.792 0.143
F15 0.959 0.896 0.221
K2 0.750 0.458 0.074
Al6 0.000 0.752 0.169
Al7 0.500 0.252 0.331
F16 0.041 0.604 0.721
K3 0.250 0.542 0.926
Al8 0.250 0.708 0.420
K4 0.250 0.444 0.605
F17 0.959 0.396 0.279
F18 0.042 0.108 0.378
F19 0.940 0.296 0.687
K5 0.750 0.556 0.395
F20 0.250 0.052 0.085
F21 0.250 0.861 0.421
F22 0.541 0.896 0.221
Al9 0.000 0.748 0.669
Na2 0.250 0.486 0.229
F23 0.250 0.361 0.079
Al10 0.750 0.292 0.580
Al11 0.500 0.748 0.669
F24 0.062 0.700 0.527
Na3 0.750 0.014 0.729
Al12 0.750 0.792 0.920
F25 0.440 0.204 0.187
F26 0.750 0.139 0.579
K6 0.750 0.056 0.105
F27 0.438 0.700 0.527
F28 0.060 0.704 0.313
F29 0.250 0.292 0.357
F30 0.458 0.608 0.122
F31 0.750 0.639 0.921
K7 0.250 0.944 0.895
F32 0.938 0.800 0.027
F33 0.250 0.790 0.699
F34 0.542 0.392 0.878
F35 0.958 0.392 0.878
F36 0.562 0.800 0.027
F37 0.042 0.608 0.122
Na4 0.250 0.986 0.271
F38 0.750 0.210 0.301
F39 0.459 0.104 0.779
F40 0.541 0.396 0.279
K8 0.750 0.958 0.426
F41 0.938 0.300 0.473
F42 0.560 0.796 0.813
F43 0.750 0.208 0.857
F44 0.438 0.200 0.973
F45 0.750 0.448 0.585
F46 0.750 0.708 0.643
F47 0.459 0.604 0.721
F48 0.750 0.710 0.199

***

Material: Tb6PrCd2
Method: DFT, PBE
State: relaxed

Summary:
Space-group type ... C2/m, No. 12
Energy ... -3.950 eV per atom
ΔE to the lowest computed polymorph ... 0.000 eV per atom
DFT formation energy ... -1.2 eV per formula unit

Cell: 3.768 6.631 11.829 Å, 75.11 80.84 73.49°
Positions (direct):
Cd1 0.350 0.084 0.217
Pr1 0.000 0.000 0.000
Tb1 0.687 0.208 0.417
Tb2 0.313 0.792 0.583
Tb3 0.985 0.688 0.342
Tb4 0.315 0.495 0.876
Cd2 0.650 0.916 0.783
Tb5 0.015 0.312 0.658
Tb6 0.685 0.505 0.124

***

Material: SrAgN
Method: DFT, PBE
State: relaxed

Summary:
Space-group type ... Pnma, No. 62
E_form (uncorrected) ... -0.122 eV/atom
Energy ... -4.408 eV per atom

Cell: 7.001 5.382 6.091 Å, 90.00 90.00 90.00°
Positions (direct):
Ag1 0.957 0.250 0.816
Sr1 0.334 0.250 0.159
Ag2 0.043 0.750 0.184
Sr2 0.166 0.750 0.659
N1 0.324 0.750 0.054
Sr3 0.834 0.250 0.341
Ag3 0.457 0.250 0.684
N2 0.676 0.250 0.946
N3 0.176 0.250 0.554
Sr4 0.666 0.750 0.841
N4 0.824 0.750 0.446
Ag4 0.543 0.750 0.316

***

Material: Th3Zn6Cd2Ag
Method: DFT, PBE
State: relaxed

Summary:
Space-group type ... P-3m1, No. 164
Energy ... -2.941 eV per atom
DFT formation energy ... -0.7 eV per formula unit

Cell: 5.934 5.934 8.763 Å, 90.00 90.00 120.00°
Positions (direct):
Zn1 0.817 0.183 0.721
Zn2 0.183 0.366 0.279
Ag1 0.000 0.000 0.500
Zn3 0.366 0.183 0.721
Zn4 0.183 0.817 0.279
Cd1 0.333 0.667 0.983
Zn5 0.817 0.634 0.721
Cd2 0.667 0.333 0.017
Th1 0.000 0.000 0.000
Th2 0.333 0.667 0.602
Zn6 0.634 0.817 0.279
Th3 0.667 0.333 0.398

***

Material: TlTc4Pb
Method: DFT, PBE
State: relaxed

Summary:
Space-group type ... F-43m, No. 216
Energy ... -7.240 eV per atom
DFT formation energy ... 4.1 eV per formula unit

Cell: 5.358 5.358 5.358 Å, 60.00 60.00 60.00°
Positions (direct):
Tc1 0.875 0.375 0.375
Tc2 0.375 0.375 0.875
Tc3 0.375 0.375 0.375
Tl1 0.750 0.750 0.750
Tc4 0.375 0.875 0.375
Pb1 0.000 0.000 0.000

***

Material: TbDyNiPd
Method: DFT, PBE
State: relaxed

Summary:
Space-group type ... Amm2, No. 38
Energy ... -5.715 eV per atom
ΔE to the lowest computed polymorph ... 0.000 eV per atom
DFT formation energy ... -2.7 eV per formula unit

Cell: 3.780 4.377 5.521 Å, 90.00 110.02 90.00°
Positions (direct):
Pd1 0.579 0.500 0.158
Ni1 0.419 0.000 0.838
Dy1 0.862 0.500 0.724
Tb1 0.140 0.000 0.281

***

Material: KSrN
Method: DFT, PBE
State: relaxed

Summary:
Space-group type ... C2/m, No. 12
E_form (uncorrected) ... -0.066 eV/atom
Energy ... -3.768 eV per atom

Cell: 4.315 4.315 15.314 Å, 56.09 56.09 59.98°
Last column: magnetic moment on the atom in μB.
Positions (direct):
K1 0.777 0.777 0.850  0.00
N1 0.232 0.232 0.011  0.17
Sr1 0.916 0.916 0.250  0.01
N2 0.521 0.521 0.297  0.17
K2 0.976 0.976 0.457  0.00
Sr2 0.838 0.838 0.057  0.01

***

Material: CsP2WCl
Method: DFT, PBE
State: relaxed

Summary:
Space-group type ... P4/mmm, No. 123
E_form (uncorrected) ... -0.226 eV/atom
Energy ... -5.520 eV per atom
ΔE to the lowest computed polymorph ... 0.000 eV per atom

Cell: 4.726 4.726 5.605 Å, 90.00 90.00 90.00°
Last column: magnetic moment on the atom in μB.
Positions (direct):
W1 0.000 0.000 0.000  0.25
P1 0.500 0.000 0.000  -0.03
Cs1 0.500 0.500 0.500  0.00
Cl1 0.000 0.000 0.500  -0.01
P2 0.000 0.500 0.000  -0.03

***

Material: RbTlAs2Br
Method: DFT, PBE
State: relaxed

Summary:
Space-group type ... P4/mmm, No. 123
E_form (uncorrected) ... 0.874 eV/atom
Energy ... -1.987 eV per atom
ΔE to the lowest computed polymorph ... 0.807 eV per atom

Cell: 6.370 14.296 6.370 Å, 90.00 90.00 90.00°
Last column: magnetic moment on the atom in μB.
Positions (direct):
Br1 0.500 0.500 0.500  0.00
Rb1 0.000 0.000 0.000  0.07
As1 0.500 0.000 0.000  0.94
Tl1 0.000 0.500 0.000  0.00
As2 0.000 0.000 0.500  1.10

***

Material: YPaNb
Method: DFT, PBE
State: relaxed

Summary:
Space-group type ... C2/m, No. 12
Energy ... -8.200 eV per atom
DFT formation energy ... 1.4 eV per formula unit

Cell: 4.662 4.657 9.260 Å, 75.47 90.00 120.03°
Positions (direct):
Pa1 0.872 0.743 0.884
Y1 0.376 0.752 0.372
Nb1 0.766 0.531 0.203
Pa2 0.128 0.257 0.116
Nb2 0.234 0.469 0.797
Y2 0.624 0.248 0.628

***

Material: Mg3Ga8Ag3
Method: DFT, PBE
State: relaxed

Summary:
Space-group type ... Immm, No. 71
Energy ... -2.769 eV per atom
DFT formation energy ... -1.2 eV per formula unit

Cell: 4.438 8.103 8.103 Å, 75.15 74.11 74.11°
Positions (direct):
Ag1 0.500 0.000 0.000
Ga1 0.154 0.474 0.218
Ga2 0.640 0.635 0.085
Mg1 0.798 0.202 0.202
Ga3 0.360 0.915 0.365
Mg2 0.202 0.798 0.798
Ag2 0.000 0.826 0.174
Ga4 0.154 0.218 0.474
Mg3 0.500 0.500 0.500
Ag3 0.000 0.174 0.826
Ga5 0.846 0.782 0.526
Ga6 0.360 0.365 0.915
Ga7 0.846 0.526 0.782
Ga8 0.640 0.085 0.635

***

Material: Pr2TmI
Method: DFT, PBE
State: relaxed

Summary:
Space-group type ... R3m, No. 160
E_form (uncorrected) ... -0.396 eV/atom
Energy ... -4.292 eV per atom
ΔE to the lowest computed polymorph ... 0.000 eV per atom

Cell: 3.841 3.841 10.969 Å, 79.92 79.92 60.00°
Positions (direct):
Pr1 0.253 0.253 0.240
I1 0.667 0.667 0.000
Tm1 0.500 0.500 0.500
Pr2 0.080 0.080 0.759

***

Material: CdSn2As
Method: DFT, PBE
State: relaxed

Summary:
Space-group type ... Cm, No. 8
Energy ... -3.336 eV per atom
ΔE to the lowest computed polymorph ... 0.042 eV per atom
DFT formation energy ... 0.2 eV per formula unit

Cell: 8.323 3.900 6.791 Å, 90.00 106.29 90.00°
Positions (direct):
Cd1 0.531 0.000 0.232
Sn1 0.257 0.000 0.807
Sn2 0.806 0.500 0.157
Sn3 0.806 0.000 0.657
Cd2 0.531 0.500 0.732
As1 0.034 0.000 0.399
Sn4 0.257 0.500 0.307
As2 0.034 0.500 0.899

***

Material: La2Pm4Sm2Er
Method: DFT, PBE
State: relaxed

Summary:
Space-group type ... C2/m, No. 12
Energy ... -4.753 eV per atom
DFT formation energy ... 0.1 eV per formula unit

Cell: 3.688 9.722 9.783 Å, 115.08 90.00 100.93°
Positions (direct):
Pm1 0.186 0.371 0.334
Pm2 0.519 0.038 0.332
La1 0.335 0.670 0.001
Er1 0.000 0.000 0.000
Pm3 0.814 0.629 0.666
La2 0.665 0.330 0.999
Pm4 0.481 0.962 0.668
Sm1 0.147 0.294 0.666
Sm2 0.853 0.706 0.334